First-principles (PBE-GGA) data for an optimized crystal structure of TaTiNbAl, as listed in the Alexandria database.

Calculated values
Excess energy over the best structure of this formula in the dataset: 129 meV per atom
Formation energy: -0.024 eV per atom

Cell and atoms, written as CIF:
```
data_TaTiNbAl
_cell_length_a 4.7581
_cell_length_b 2.9031
_cell_length_c 10.3055
_cell_angle_alpha 90.00
_cell_angle_beta 90.00
_cell_angle_gamma 90.00
_space_group_name_H-M_alt 'A m m 2'
_space_group_IT_number 38
loop_
_space_group_symop_operation_xyz
'x,y,z'
'-x,-y,z'
'-x,y,z'
'x,-y,z'
'x,y+1/2,z+1/2'
'-x,-y+1/2,z+1/2'
'-x,y+1/2,z+1/2'
'x,-y+1/2,z+1/2'
loop_
_atom_site_label
_atom_site_type_symbol
_atom_site_fract_x
_atom_site_fract_y
_atom_site_fract_z
_atom_site_occupancy
Ta1 Ta 0.0000 0.0000 0.0000 1
Ti1 Ti 0.0000 0.0000 0.2568 1
Nb1 Nb 0.5000 0.0000 0.5824 1
Al1 Al 0.5000 0.0000 0.8444 1
```

---

First-principles (PBE-GGA) data for an optimized crystal structure of Cs2Hg4Ge, as listed in the Alexandria database.

Calculated values
Formation energy: -0.103 eV per atom

Cell and atoms, written as CIF:
```
data_Cs2Hg4Ge
_cell_length_a 5.6388
_cell_length_b 5.6388
_cell_length_c 19.1765
_cell_angle_alpha 90.00
_cell_angle_beta 90.00
_cell_angle_gamma 90.00
_space_group_name_H-M_alt 'I 4/m m m'
_space_group_IT_number 139
_space_group_name_Hall '-I 4 2'
loop_
_atom_site_label
_atom_site_type_symbol
_atom_site_fract_x
_atom_site_fract_y
_atom_site_fract_z
_atom_site_occupancy
Cs1 Cs 0.0000 0.0000 0.1413 1
Hg1 Hg 0.0000 0.0000 0.3425 1
Hg2 Hg 0.0000 0.5000 0.0000 1
Ge1 Ge 0.0000 0.0000 0.5000 1
```

---

First-principles (PBE-GGA) data for an optimized crystal structure of Nd2SmEr4Th, as listed in the Alexandria database.

Calculated values
Formation energy: 0.029 eV per atom

Cell and atoms, written as CIF:
```
data_Nd2SmEr4Th
_cell_length_a 5.0910
_cell_length_b 5.1049
_cell_length_c 9.9338
_cell_angle_alpha 90.00
_cell_angle_beta 90.04
_cell_angle_gamma 90.00
_space_group_name_H-M_alt 'P 1 2/m 1'
_space_group_IT_number 10
loop_
_space_group_symop_operation_xyz
'x,y,z'
'-x,-y,-z'
'-x,y,-z'
'x,-y,z'
loop_
_atom_site_label
_atom_site_type_symbol
_atom_site_fract_x
_atom_site_fract_y
_atom_site_fract_z
_atom_site_occupancy
Nd1 Nd 0.0000 0.0000 0.0000 1
Nd2 Nd 0.5000 0.5000 0.5000 1
Sm1 Sm 0.0000 0.0000 0.5000 1
Er1 Er 0.0000 0.5000 0.2459 1
Er2 Er 0.5003 0.0000 0.2458 1
Th1 Th 0.5000 0.5000 0.0000 1
```

---

First-principles (PBE-GGA) data for an optimized crystal structure of CaSb, as listed in the Alexandria database.

Calculated values
ΔE_f (raw): -15.0 kJ per mole of atoms

Cell and atoms, written as CIF:
```
data_CaSb
_cell_length_a 9.6061
_cell_length_b 9.6061
_cell_length_c 9.6061
_cell_angle_alpha 90.00
_cell_angle_beta 90.00
_cell_angle_gamma 90.00
_space_group_name_H-M_alt 'I -4 3 m'
_space_group_IT_number 217
_space_group_name_Hall 'I -4 2 3'
loop_
_atom_site_label
_atom_site_type_symbol
_atom_site_fract_x
_atom_site_fract_y
_atom_site_fract_z
_atom_site_occupancy
Ca1 Ca 0.1831 0.1831 0.1831 1
Sb1 Sb 0.1334 0.1334 0.8666 1
```

---

Results for calculated total energy: -8.414; -1.179; -4.962; -3.218 (in eV/atom, following the order of the records).